A plane-wave DFT calculation with PBE was carried out for an optimized crystal structure of CuSbBr6.

Cell: 6.8543 6.8604 7.1664 Å, 61.43 61.47 59.99°
Element x y z (fractional)
Cu: 0.0000 0.0000 0.0000
Sb: 0.5000 0.5000 0.5000
Br: 0.1111 0.3803 0.7566
Br: 0.7524 0.1107 0.7570
Br: 0.6198 0.2479 0.2434
Br: 0.2476 0.8893 0.2430
Br: 0.8889 0.6197 0.2434
Br: 0.3802 0.7521 0.7566

Computed properties:
Total energy: -2.59 eV/atom
Formation energy from raw total energies: -7.2 kcal/mol of atoms
Fermi-level density of states: 6.6 states/eV/f.u.
Total magnetic moment: 0.0 μB/f.u.
Theoretical density: 4.54 g/cm³